#i
Y4Er3Mg | GGA-PBE | optimized geometry

Computed properties:
- density of states at the Fermi level (states/eV/cell) = 11.33

Unit cell a=3.7057 b=5.5272 c=12.5227 alpha=102.79 beta=98.51 gamma=90.00
With the nearest neighbours (Å) after each atom.
Element x y z (fractional)
Y  0.2700  0.7701  0.5399  10 Y 3.46-3.71, 2 Er 3.53
Y  0.6372  0.6364  0.2744  6 Er 3.41-3.80, 6 Y 3.56-3.71
Y  0.3628  0.3636  0.7256  6 Er 3.41-3.80, 6 Y 3.56-3.71
Y  0.7300  0.2299  0.4601  10 Y 3.46-3.71, 2 Er 3.53
Er  0.1055  0.1045  0.2109  2 Mg 3.15, 4 Y 3.41
Er  0.0000  0.5000  0.0000  4 Mg 3.33, 2 Er 3.71
Er  0.8945  0.8955  0.7891  2 Mg 3.15, 4 Y 3.41
Mg  0.5000  0.0000  0.0000  8 Er 3.15-3.33

=====

#ii
Y4Er3Mg | GGA-PBE | optimized geometry

Computed properties:
- density of states at the Fermi level (states/eV/cell) = 11.81

Unit cell a=3.5563 b=3.5563 c=19.3345 alpha=90.00 beta=90.00 gamma=90.00
With the nearest neighbours (Å) after each atom.
Element x y z (fractional)
Er  0.5000  0.5000  0.7586  8 Y 3.52-3.55, 4 Er 3.56
Er  0.5000  0.5000  0.2414  8 Y 3.52-3.55, 4 Er 3.56
Er  0.5000  0.5000  0.5000  8 Y 3.55, 4 Er 3.56
Mg  0.5000  0.5000  0.0000  8 Y 3.35, 4 Mg 3.56
Y  0.0000  0.0000  0.3707  8 Er 3.55, 4 Y 3.56
Y  0.0000  0.0000  0.1143  4 Mg 3.35, 4 Er 3.52, 4 Y 3.56
Y  0.0000  0.0000  0.8857  4 Mg 3.35, 4 Er 3.52, 4 Y 3.56
Y  0.0000  0.0000  0.6293  8 Er 3.55, 4 Y 3.56

=====

Stability verdict: #ii, ahead by 6 meV/atom

=====

#i
Y4ErMg | GGA-PBE | optimized geometry

Computed properties:
- density of states at the Fermi level (states/eV/cell) = 16.99

Unit cell a=3.5942 b=6.0219 c=17.0810 alpha=87.69 beta=90.00 gamma=90.00
With the nearest neighbours (Å) after each atom.
Element x y z (fractional)
Y  0.4988  0.8357  0.1627  2 Mg 3.42, 9 Y 3.47-3.60, 1 Er 3.50
Y  0.9992  0.3417  0.1672  9 Y 3.47-3.59, 2 Er 3.47-3.48, 1 Mg 3.59
Y  0.5012  0.1643  0.8373  2 Mg 3.42, 9 Y 3.47-3.60, 1 Er 3.50
Y  0.5008  0.8417  0.6673  9 Y 3.47-3.59, 2 Er 3.47-3.48, 1 Mg 3.59
Y  0.0012  0.3357  0.6628  2 Mg 3.42-3.43, 9 Y 3.47-3.60, 1 Er 3.50
Y  0.0008  0.6583  0.8328  9 Y 3.47-3.59, 2 Er 3.47-3.48, 1 Mg 3.59
Y  0.9988  0.6643  0.3372  2 Mg 3.42-3.43, 9 Y 3.47-3.60, 1 Er 3.50
Y  0.4992  0.1583  0.3327  9 Y 3.47-3.59, 2 Er 3.47-3.48, 1 Mg 3.59
Er  0.5000  0.5000  0.0000  6 Y 3.47-3.50, 4 Mg 3.51, 2 Er 3.59
Er  0.0000  0.0000  0.5000  6 Y 3.47-3.50, 4 Mg 3.51, 2 Er 3.59
Mg  0.5000  0.5000  0.5000  6 Y 3.42-3.59, 4 Er 3.51, 2 Mg 3.59
Mg  0.0000  0.0000  0.0000  6 Y 3.42-3.59, 4 Er 3.51, 2 Mg 3.59

=====

#ii
Y4ErMg | GGA-PBE | optimized geometry

Computed properties:
- density of states at the Fermi level (states/eV/cell) = 9.36

Unit cell a=3.5848 b=3.5848 c=14.2882 alpha=90.00 beta=90.00 gamma=90.00
With the nearest neighbours (Å) after each atom.
Element x y z (fractional)
Y  0.0000  0.0000  0.6517  4 Mg 3.33, 8 Y 3.56-3.58
Y  0.5000  0.5000  0.8266  4 Er 3.54, 8 Y 3.56-3.58
Y  0.0000  0.0000  0.3483  4 Mg 3.33, 8 Y 3.56-3.58
Y  0.5000  0.5000  0.1734  4 Er 3.54, 8 Y 3.56-3.58
Er  0.0000  0.0000  0.0000  8 Y 3.54, 4 Er 3.58
Mg  0.5000  0.5000  0.5000  8 Y 3.33, 4 Mg 3.58

=====

Stability verdict: #ii, ahead by 42 meV/atom

=====

#i
ErMg2Zn6 | GGA-PBE | optimized geometry

Computed properties:
- density of states at the Fermi level (states/eV/cell) = 3.02

Unit cell a=3.1671 b=7.7427 c=7.7427 alpha=120.00 beta=90.00 gamma=90.00
With the nearest neighbours (Å) after each atom.
Element x y z (fractional)
Er  0.0000  0.0000  0.0000  12 Zn 3.05, 2 Er 3.17
Zn  0.5000  0.0000  0.3368  3 Zn 2.53-2.61
Zn  0.5000  0.3368  0.3368  3 Zn 2.53-2.61
Zn  0.5000  0.0000  0.6632  3 Zn 2.53-2.61
Zn  0.5000  0.3368  0.0000  3 Zn 2.53-2.61
Zn  0.5000  0.6632  0.6632  3 Zn 2.53-2.61
Zn  0.5000  0.6632  0.0000  3 Zn 2.53-2.61
Mg  0.0000  0.6667  0.3333  12 Zn 3.02, 2 Mg 3.17
Mg  0.0000  0.3333  0.6667  12 Zn 3.02, 2 Mg 3.17

=====

#ii
ErMg2Zn6 | GGA-PBE | optimized geometry

Computed properties:
- density of states at the Fermi level (states/eV/cell) = 4.03

Unit cell a=3.3382 b=7.5468 c=7.7652 alpha=119.07 beta=102.41 gamma=90.00
With the nearest neighbours (Å) after each atom.
Element x y z (fractional)
Zn  0.3241  0.5020  0.6481  4 Zn 2.58-2.79, 1 Mg 2.77
Zn  0.5000  0.8293  0.0000  3 Zn 2.58, 4 Mg 2.80
Zn  0.6759  0.4980  0.3519  4 Zn 2.58-2.79, 1 Mg 2.77
Zn  0.3241  0.1461  0.6481  4 Zn 2.58-2.79, 1 Mg 2.77
Zn  0.6759  0.8539  0.3519  4 Zn 2.58-2.79, 1 Mg 2.77
Zn  0.5000  0.1707  0.0000  3 Zn 2.58, 4 Mg 2.80
Mg  0.8601  0.8601  0.7202  10 Zn 2.77-2.99
Mg  0.1399  0.1399  0.2798  10 Zn 2.77-2.99
Er  0.0000  0.5000  0.0000  12 Zn 2.99-3.15, 2 Er 3.34

=====

Stability verdict: #i, ahead by 15 meV/atom

=====

#i
ErMg2Zn2 | GGA-PBE | optimized geometry

Computed properties:
- density of states at the Fermi level (states/eV/cell) = 5.19

Unit cell a=4.1879 b=4.1879 c=12.4646 alpha=99.67 beta=99.67 gamma=90.00
With the nearest neighbours (Å) after each atom.
Element x y z (fractional)
Mg  0.5000  0.0000  0.0000  4 Zn 2.77, 4 Mg 2.96
Mg  0.1810  0.1810  0.3620  5 Zn 2.57-2.68
Mg  0.0000  0.5000  0.0000  4 Zn 2.77, 4 Mg 2.96
Mg  0.8190  0.8190  0.6380  5 Zn 2.57-2.68
Er  0.6207  0.6207  0.2414  4 Zn 3.16, 4 Mg 3.30
Er  0.3793  0.3793  0.7586  4 Zn 3.16, 4 Mg 3.30
Zn  0.9252  0.9252  0.8504  5 Mg 2.57-2.77
Zn  0.0748  0.0748  0.1496  5 Mg 2.57-2.77
Zn  0.2500  0.7500  0.5000  4 Mg 2.68, 4 Zn 2.96
Zn  0.7500  0.2500  0.5000  4 Mg 2.68, 4 Zn 2.96

=====

#ii
ErMg2Zn2 | GGA-PBE | optimized geometry

Computed properties:
- density of states at the Fermi level (states/eV/cell) = 5.28

Unit cell a=4.7487 b=4.7347 c=9.8111 alpha=90.06 beta=90.00 gamma=90.00
With the nearest neighbours (Å) after each atom.
Element x y z (fractional)
Er  0.7500  0.2502  0.6790  6 Zn 2.88-2.95
Er  0.2500  0.7498  0.3210  6 Zn 2.88-2.95
Zn  0.2500  0.2500  0.8444  6 Mg 2.74-2.93, 2 Er 2.88
Zn  0.7500  0.7498  0.4995  4 Mg 2.89-2.90, 4 Er 2.95
Zn  0.7500  0.7500  0.1556  6 Mg 2.74-2.93, 2 Er 2.88
Zn  0.2500  0.2502  0.5005  4 Mg 2.89-2.90, 4 Er 2.95
Mg  0.7500  0.2499  0.3309  6 Zn 2.89-2.93, 1 Mg 3.11
Mg  0.7500  0.2500  0.0138  4 Zn 2.74-2.90
Mg  0.2500  0.7500  0.9862  4 Zn 2.74-2.90
Mg  0.2500  0.7501  0.6691  6 Zn 2.89-2.93, 1 Mg 3.11

=====

Stability verdict: #ii, ahead by 31 meV/atom

=====

#i
ErMg3Zn8 | GGA-PBE | optimized geometry

Computed properties:
- density of states at the Fermi level (states/eV/cell) = 3.22

Unit cell a=5.2900 b=5.2900 c=9.1273 alpha=73.15 beta=73.15 gamma=60.00
With the nearest neighbours (Å) after each atom.
Element x y z (fractional)
Zn  0.6879  0.6879  0.9363  6 Zn 2.61-2.62
Zn  0.9366  0.4360  0.6908  6 Zn 2.61-2.66
Zn  0.1875  0.1875  0.4374  6 Zn 2.66
Zn  0.4360  0.9366  0.6908  6 Zn 2.61-2.66
Zn  0.4382  0.9407  0.1829  6 Zn 2.62-2.66
Zn  0.4382  0.4382  0.1829  6 Zn 2.62-2.66
Zn  0.9366  0.9366  0.6908  6 Zn 2.61-2.66
Zn  0.9407  0.4382  0.1829  6 Zn 2.62-2.66
Er  0.8759  0.8759  0.3724  12 Zn 3.10-3.14, 4 Mg 3.23-3.27
Mg  0.0011  0.0011  0.9967  12 Zn 3.04-3.10, 3 Mg 3.22, 1 Er 3.23
Mg  0.4973  0.4973  0.5082  12 Zn 3.08-3.19, 1 Mg 3.18, 3 Er 3.27
Mg  0.3740  0.3740  0.8779  12 Zn 3.03-3.10, 4 Mg 3.18-3.22

=====

#ii
ErMg3Zn8 | GGA-PBE | optimized geometry

Computed properties:
- density of states at the Fermi level (states/eV/cell) = 5.54

Unit cell a=5.2321 b=5.2321 c=8.7420 alpha=90.00 beta=90.00 gamma=120.00
With the nearest neighbours (Å) after each atom.
Element x y z (fractional)
Zn  0.9949  0.4974  0.7560  6 Zn 2.58-2.70
Zn  0.3333  0.6667  0.0055  6 Zn 2.61-2.67
Zn  0.3333  0.6667  0.5018  6 Zn 2.70-2.71
Zn  0.1634  0.8366  0.2467  6 Zn 2.56-2.71
Zn  0.6732  0.8366  0.2467  6 Zn 2.56-2.71
Zn  0.5026  0.0051  0.7560  6 Zn 2.58-2.70
Zn  0.1634  0.3268  0.2467  6 Zn 2.56-2.71
Zn  0.5026  0.4974  0.7560  6 Zn 2.58-2.70
Er  0.0000  0.0000  0.5611  12 Zn 3.06-3.12, 4 Mg 3.24-3.27
Mg  0.6667  0.3333  0.4279  12 Zn 3.06-3.23, 1 Mg 3.22, 3 Er 3.24
Mg  0.6667  0.3333  0.0599  12 Zn 3.04-3.08, 4 Mg 3.21-3.22
Mg  0.0000  0.0000  0.9357  12 Zn 3.05-3.10, 3 Mg 3.21, 1 Er 3.27

=====

Stability verdict: #ii, ahead by 6 meV/atom

=====

#i
Er2MgZn | GGA-PBE | optimized geometry

Computed properties:
- density of states at the Fermi level (states/eV/cell) = 3.59

Unit cell a=3.3469 b=3.3469 c=11.5454 alpha=81.67 beta=81.67 gamma=60.00
With the nearest neighbours (Å) after each atom.
Element x y z (fractional)
Mg  0.5000  0.5000  0.5000  6 Er 3.28, 6 Mg 3.35
Er  0.0889  0.0889  0.7332  1 Zn 3.04, 3 Mg 3.28, 6 Er 3.35
Er  0.9111  0.9111  0.2668  1 Zn 3.04, 3 Mg 3.28, 6 Er 3.35
Zn  0.0000  0.0000  0.0000  2 Er 3.04, 6 Zn 3.35

=====

#ii
Er2MgZn | GGA-PBE | optimized geometry

Computed properties:
- density of states at the Fermi level (states/eV/cell) = 3.86

Unit cell a=5.1508 b=5.1508 c=5.1508 alpha=60.00 beta=60.00 gamma=60.00
With the nearest neighbours (Å) after each atom.
Element x y z (fractional)
Er  0.7500  0.7500  0.7500  4 Zn 3.15, 4 Mg 3.15
Er  0.2500  0.2500  0.2500  4 Mg 3.15, 4 Zn 3.15
Zn  0.5000  0.5000  0.5000  8 Er 3.15
Mg  0.0000  0.0000  0.0000  8 Er 3.15

=====

#iii
Er2MgZn | GGA-PBE | optimized geometry

Computed properties:
- density of states at the Fermi level (states/eV/cell) = 4.09

Unit cell a=3.5397 b=3.5397 c=7.8343 alpha=90.00 beta=90.00 gamma=90.00
With the nearest neighbours (Å) after each atom.
Element x y z (fractional)
Zn  0.5000  0.5000  0.0000  8 Er 3.05
Er  0.0000  0.0000  0.2216  4 Zn 3.05, 4 Mg 3.32
Er  0.0000  0.0000  0.7784  4 Zn 3.05, 4 Mg 3.32
Mg  0.5000  0.5000  0.5000  8 Er 3.32, 4 Mg 3.54

=====

Stability verdict: #iii, ahead by 33 meV/atom

=====

#i
ErMgZrZn | GGA-PBE | optimized geometry

Computed properties:
- density of states at the Fermi level (states/eV/cell) = 4.19

Unit cell a=3.4797 b=3.4797 c=7.3131 alpha=90.00 beta=90.00 gamma=90.00
With the nearest neighbours (Å) after each atom.
Element x y z (fractional)
Zr  0.5000  0.5000  0.3402  4 Zn 2.92, 4 Mg 3.07
Er  0.5000  0.5000  0.8015  4 Zn 3.05, 4 Mg 3.24, 1 Zr 3.37
Mg  0.0000  0.0000  0.0888  4 Zr 3.07, 4 Er 3.24, 1 Zn 3.40
Zn  0.0000  0.0000  0.5542  4 Zr 2.92, 4 Er 3.05

=====

#ii
ErMgZrZn | GGA-PBE | optimized geometry

Computed properties:
- density of states at the Fermi level (states/eV/cell) = 3.74

Unit cell a=4.9824 b=4.9824 c=4.9824 alpha=60.00 beta=60.00 gamma=60.00
With the nearest neighbours (Å) after each atom.
Element x y z (fractional)
Zr  0.2500  0.2500  0.2500  4 Mg 3.05, 4 Zn 3.05
Zn  0.0000  0.0000  0.0000  4 Er 3.05, 4 Zr 3.05
Mg  0.5000  0.5000  0.5000  4 Zr 3.05, 4 Er 3.05
Er  0.7500  0.7500  0.7500  4 Mg 3.05, 4 Zn 3.05

=====

Stability verdict: #i, ahead by 49 meV/atom

=====

#i
NdEr2Mn | GGA-PBE | optimized geometry

Computed properties:
- density of states at the Fermi level (states/eV/cell) = 5.76

Unit cell a=4.9440 b=4.9440 c=5.9054 alpha=65.25 beta=65.25 gamma=60.00
With the nearest neighbours (Å) after each atom.
Element x y z (fractional)
Er  0.2241  0.2241  0.3278  3 Mn 2.99, 3 Nd 3.32
Er  0.7759  0.7759  0.6722  3 Mn 2.99, 3 Nd 3.32
Nd  0.0000  0.0000  0.0000  8 Er 3.32-3.48
Mn  0.5000  0.5000  0.5000  6 Er 2.99

=====

#ii
NdEr2Mn | GGA-PBE | optimized geometry

Computed properties:
- density of states at the Fermi level (states/eV/cell) = 5.30

Unit cell a=3.4640 b=3.4640 c=9.0357 alpha=90.00 beta=90.00 gamma=90.00
With the nearest neighbours (Å) after each atom.
Element x y z (fractional)
Er  0.0000  0.0000  0.8089  4 Mn 3.00
Er  0.0000  0.0000  0.1911  4 Mn 3.00
Mn  0.5000  0.5000  0.0000  8 Er 3.00
Nd  0.5000  0.5000  0.5000  4 Nd 3.46, 8 Er 3.71

=====

Stability verdict: #ii, ahead by 222 meV/atom